Below is an optimized crystal structure of GdNpNb, with properties calculated at the PBE level.

Cell lengths 6.7670, 6.7670, 6.7670 Å; angles 90.00, 90.00, 90.00 degrees
With the nearest neighbours (Å) after each atom.
Space group F-43m (No. 216)
Unique sites:
1 Gd 0.0000 0.0000 0.0000 x4  4 Nb 2.93
2 Np 0.0000 0.0000 0.5000 x4  4 Nb 2.93
3 Nb 0.2500 0.2500 0.2500 x4  4 Np 2.93, 4 Gd 2.93

## Properties
Electronic total energy = -8.19 eV per atom
Formation enthalpy at 0 K = 986 meV per atom
M_tot = 3.04 μB/f.u.

***

Below is an optimized crystal structure of SrZn2InGa, with properties calculated at the PBE level.

Cell lengths 4.4392, 4.4392, 11.4101 Å; angles 90.00, 90.00, 90.00 degrees
With the nearest neighbours (Å) after each atom.
Space group I4mm (No. 107)
Unique sites:
1 Sr 0.0000 0.0000 0.0000 x2  4 Ga 3.41, 4 In 3.44, 8 Zn 3.47-3.76
2 Zn 0.0000 0.5000 0.2341 x4  2 Ga 2.59, 2 In 2.75
3 In 0.0000 0.0000 0.3769 x2  1 Ga 2.75, 4 Zn 2.75
4 Ga 0.0000 0.0000 0.6177 x2  4 Zn 2.59, 1 In 2.75

## Properties
Electronic total energy = -2.30 eV per atom